Model 1:
The following is a DFT calculation (PBE-GGA) of an optimized crystal structure of Mo2AuBr.

a b c (Å): 2.9881 4.6652 5.1628
angles (deg): 90.00 90.00 90.00
With the nearest neighbours (Å) after each atom.
Atoms (fractional coordinates):
1 Mo 0.0000 0.0000 0.0000  2 Br 2.52
2 Mo 0.5000 0.5000 0.1662  2 Br 2.61, 4 Mo 2.90, 2 Au 2.91
3 Au 0.0000 0.5000 0.6815  6 Mo 2.85-3.05, 2 Au 2.99, 4 Br 3.14
4 Br 0.5000 0.0000 0.3935  4 Mo 2.52-2.61

Results
Space-group type: Pmm2 (25)
Theoretical density, kg/m3: 10816
Size of the total moment, μB/atom: 0.00


Model 2:
The following is a DFT calculation (PBE-GGA) of an optimized crystal structure of Mo2AuBr.

a b c (Å): 5.5480 5.5480 5.5480
angles (deg): 147.86 128.93 61.63
With the nearest neighbours (Å) after each atom.
Atoms (fractional coordinates):
1 Mo 0.2347 0.2347 0.0000  2 Br 2.71, 4 Mo 2.86, 2 Au 2.96
2 Mo 0.7653 0.7653 0.0000  2 Br 2.71, 4 Mo 2.86, 2 Au 2.96
3 Au 0.5000 0.0000 0.5000  4 Br 2.84, 4 Mo 2.96, 2 Au 3.07
4 Br 0.0000 0.5000 0.5000  4 Mo 2.71, 4 Au 2.84

Results
Space-group type: Immm (71)
Theoretical density, kg/m3: 11121
Size of the total moment, μB/atom: 0.00


Model 3:
The following is a DFT calculation (PBE-GGA) of an optimized crystal structure of Mo2AuBr.

a b c (Å): 3.1666 3.1666 8.0622
angles (deg): 90.00 90.00 90.00
With the nearest neighbours (Å) after each atom.
Atoms (fractional coordinates):
1 Mo 0.0000 0.0000 0.0000  4 Mo 2.62
2 Mo 0.5000 0.5000 0.1679  4 Mo 2.62, 4 Au 2.92
3 Au 0.0000 0.0000 0.3994  5 Mo 2.92-3.22, 4 Au 3.17
4 Br 0.5000 0.5000 0.7641  5 Mo 2.94-3.26, 4 Br 3.17

Results
Space-group type: P4mm (99)
Theoretical density, kg/m3: 9628
Size of the total moment, μB/atom: 0.00


Model 4:
The following is a DFT calculation (PBE-GGA) of an optimized crystal structure of Mo2AuBr.

a b c (Å): 3.3058 3.6703 6.6138
angles (deg): 90.00 90.00 90.00
With the nearest neighbours (Å) after each atom.
Atoms (fractional coordinates):
1 Mo 0.0000 0.0000 0.1840  1 Mo 2.43
2 Mo 0.0000 0.0000 0.8160  1 Mo 2.43
3 Au 0.5000 0.5000 0.0000  8 Mo 2.75
4 Br 0.0000 0.5000 0.5000  4 Mo 2.78

Results
Space-group type: Pmmm (47)
Theoretical density, kg/m3: 9700
Size of the total moment, μB/atom: 0.00


In terms of stability, model 3 leads; the second structure lies 22.0 kJ/mol of atoms higher.